Here is a geometry-optimized CaB structure from Alexandria. Energies are from PBE.

Computed properties:
ΔE_f ... 0.19 eV per atom
Excess energy over the best structure of this formula in the dataset ... 334 meV/atom

Structure (POSCAR):
```
CaB
1.0
11.2341 0.0000 0.0000
0.0000 4.5919 0.0000
0.0000 0.0000 5.1336
B Ca
6 6
Direct
0.8642 0.0000 0.6640 B
0.3641 0.5000 0.1640 B
0.6358 0.5000 0.1640 B
0.1358 0.0000 0.6640 B
0.5000 0.5000 0.0620 B
0.0000 0.0000 0.5620 B
0.6983 0.5000 0.6722 Ca
0.1983 0.0000 0.1722 Ca
0.5000 0.0000 0.2676 Ca
0.0000 0.5000 0.7676 Ca
0.3017 0.5000 0.6722 Ca
0.8017 0.0000 0.1722 Ca
```